(1)
## NaCa2Mg (PBE-GGA)

Data for NaCa2Mg after structural relaxation.

Lattice parameters (Å, degrees): 3.948 3.948 8.990 90.00 90.00 90.00
Space group P4/mmm (No. 123)
Symmetry-distinct sites (fractional):
Na 0.000 0.000 0.000 (multiplicity 1)
Ca 0.500 0.500 0.281 (multiplicity 2)
Mg 0.000 0.000 0.500 (multiplicity 1)

Summary:
Spin magnetization: 0.0 μB/cell
Mass density: 1.5 Mg/m³
Energy of formation from the pure elements: -0.8 kJ per mole of atoms

(2)
## NaCaMg14 (PBE-GGA)

Data for NaCaMg14 after structural relaxation.

Lattice parameters (Å, degrees): 10.638 6.466 11.428 90.00 90.00 90.00
Space group Amm2 (No. 38)
Symmetry-distinct sites (fractional):
Na 0.000 0.000 0.000 (multiplicity 2)
Ca 0.000 0.000 0.502 (multiplicity 2)
Mg 0.000 0.247 0.754 (multiplicity 4)
Mg 0.246 0.000 0.167 (multiplicity 4)
Mg 0.254 0.000 0.668 (multiplicity 4)
Mg 0.260 0.250 0.414 (multiplicity 8)
Mg 0.500 0.000 0.004 (multiplicity 2)
Mg 0.500 0.000 0.503 (multiplicity 2)
Mg 0.500 0.248 0.250 (multiplicity 4)

Summary:
Spin magnetization: 0.0 μB/cell
Mass density: 1.7 Mg/m³
Energy of formation from the pure elements: 2.8 kJ per mole of atoms

(3)
## NaCaMg14 (PBE-GGA)

Data for NaCaMg14 after structural relaxation.

Lattice parameters (Å, degrees): 6.5433 6.5433 10.6088 90.00 90.00 120.00
Space group P-6m2 (No. 187)
Symmetry-distinct sites (fractional):
Na 0.0000 0.0000 0.0000 (multiplicity 1)
Ca 0.0000 0.0000 0.5000 (multiplicity 1)
Mg 0.9995 0.4998 0.0000 (multiplicity 3)
Mg 0.0077 0.5039 0.5000 (multiplicity 3)
Mg 0.1704 0.3407 0.2466 (multiplicity 6)
Mg 0.6667 0.3333 0.2526 (multiplicity 2)

Summary:
Spin magnetization: 0.0 μB/cell
Mass density: 1.7 Mg/m³
Energy of formation from the pure elements: 2.1 kJ per mole of atoms

(4)
## Na4CaMg (PBE-GGA)

Data for Na4CaMg after structural relaxation.

Lattice parameters (Å, degrees): 9.308 9.308 9.308 90.00 90.00 90.00
Space group F-43m (No. 216)
Symmetry-distinct sites (fractional):
Na 0.125 0.125 0.125 (multiplicity 16)
Ca 0.000 0.000 0.500 (multiplicity 4)
Mg 0.250 0.250 0.750 (multiplicity 4)

Summary:
Spin magnetization: 0.0 μB/cell
Mass density: 1.3 Mg/m³
Energy of formation from the pure elements: 11.5 kJ per mole of atoms

(5)
## NaCaMg6 (PBE-GGA)

Data for NaCaMg6 after structural relaxation.

Lattice parameters (Å, degrees): 5.399 6.690 11.656 90.00 90.00 90.00
Space group Amm2 (No. 38)
Symmetry-distinct sites (fractional):
Na 0.000 0.000 0.000 (multiplicity 2)
Ca 0.500 0.000 0.171 (multiplicity 2)
Mg 0.000 0.000 0.511 (multiplicity 2)
Mg 0.000 0.246 0.761 (multiplicity 4)
Mg 0.500 0.000 0.678 (multiplicity 2)
Mg 0.500 0.244 0.419 (multiplicity 4)

Summary:
Spin magnetization: 0.0 μB/cell
Mass density: 1.6 Mg/m³
Energy of formation from the pure elements: 4.1 kJ per mole of atoms

(6)
## NaCa16Mg12 (PBE-GGA)

Data for NaCa16Mg12 after structural relaxation.

Lattice parameters (Å, degrees): 12.426 17.207 10.907 90.00 124.55 90.00
Space group Cm (No. 8)
Symmetry-distinct sites (fractional):
Na 0.000 0.000 0.000 (multiplicity 2)
Ca 0.077 0.130 0.307 (multiplicity 4)
Ca 0.099 0.198 0.992 (multiplicity 4)
Ca 0.114 0.500 0.635 (multiplicity 2)
Ca 0.119 0.500 0.306 (multiplicity 2)
Ca 0.176 0.155 0.711 (multiplicity 4)
Ca 0.270 0.346 0.907 (multiplicity 4)
Ca 0.274 0.000 0.982 (multiplicity 2)
Ca 0.292 0.323 0.306 (multiplicity 4)
Ca 0.317 0.000 0.615 (multiplicity 2)
Ca 0.417 0.202 0.625 (multiplicity 4)
Mg 0.025 0.407 0.954 (multiplicity 4)
Mg 0.118 0.315 0.488 (multiplicity 4)
Mg 0.293 0.500 0.130 (multiplicity 2)
Mg 0.352 0.092 0.314 (multiplicity 4)
Mg 0.383 0.408 0.660 (multiplicity 4)
Mg 0.437 0.186 0.133 (multiplicity 4)
Mg 0.478 0.500 0.485 (multiplicity 2)

Summary:
Spin magnetization: 0.0 μB/cell
Mass density: 1.7 Mg/m³
Energy of formation from the pure elements: -2.9 kJ per mole of atoms